[1]
## KGeCl (PBE-GGA)

Data for a geometry-optimized KGeCl structure.

Calculated values
uncorrected formation energy = -1.044 eV/atom
final energy = -3.565 eV/atom
volume = 29.94 Å³/atom
energy above the most stable polymorph in this dataset = 0.21 kcal/mol of atoms
density = 2.721 g/cm3

Cell lengths 4.1895, 4.1895, 11.8171 Å; angles 90.00, 90.00, 120.00 degrees
Space group P3m1 (No. 156)
One atom of each set of equivalent atoms:
K  0.0000  0.0000  0.0000 x1
K  0.0000  0.0000  0.3385 x1
Ge  0.3333  0.6667  0.7748 x1
Ge  0.6667  0.3333  0.7052 x1
Cl  0.3333  0.6667  0.1640 x1
Cl  0.6667  0.3333  0.4932 x1

[2]
## K2GeCl (PBE-GGA)

Data for a geometry-optimized K2GeCl structure.

Calculated values
uncorrected formation energy = -0.478 eV/atom
final energy = -2.643 eV/atom
volume = 34.49 Å³/atom
energy above the most stable polymorph in this dataset = 0.00 kcal/mol of atoms
density = 2.242 g/cm3

Cell lengths 8.2022, 8.2022, 8.2022 Å; angles 90.00, 90.00, 90.00 degrees
Space group Fm-3m (No. 225)
One atom of each set of equivalent atoms:
K  0.2500  0.2500  0.2500 x8
Ge  0.0000  0.0000  0.0000 x4
Cl  0.0000  0.0000  0.5000 x4

[3]
## KGeCl3 (PBE-GGA)

Data for a geometry-optimized KGeCl3 structure.

Calculated values
uncorrected formation energy = -1.273 eV/atom
final energy = -3.524 eV/atom
volume = 32.23 Å³/atom
density = 2.247 g/cm3

Cell lengths 4.8754, 8.1051, 8.2986 Å; angles 98.57, 93.87, 94.38 degrees
Space group P-1 (No. 2)
One atom of each set of equivalent atoms:
K  0.2423  0.3605  0.2302 x2
Ge  0.0707  0.1533  0.6515 x2
Cl  0.2249  0.3967  0.8440 x2
Cl  0.2368  0.7005  0.5055 x2
Cl  0.2480  0.9535  0.1870 x2

> The lowest volume belongs to which entry?

KGeCl